This record from Alexandria via LeMat-Bulk describes a geometry-optimized BeFe2Te structure. The functional is GGA-PBE.

Cell and atoms, written as POSCAR:
```
BeFe2Te
1.0
3.004 0.000 0.000
0.000 3.004 0.000
0.000 0.000 5.531
Be Fe Te
1 2 1
Direct
0.000 0.000 0.000
0.500 0.500 0.227
0.500 0.500 0.773
0.000 0.000 0.500
```

## Properties
Uncorrected formation energy = 40.3 kJ per mole of atoms
Symmetry = P4/mmm (123)
Raw total energy = -5.531 eV/atom
M_tot = 0.00 μB/f.u.